No. 1
# ZnGe2B2Rh5, optimized geometry, DFT GGA-PBE
data_ZnGe2B2Rh5
_symmetry_space_group_name_H-M 'P 4/m b m'
_symmetry_Int_Tables_number 127
_symmetry_space_group_name_Hall '-P 4 2ab'
_cell_length_a 9.347
_cell_length_b 9.347
_cell_length_c 3.001
_cell_angle_alpha 90.00
_cell_angle_beta 90.00
_cell_angle_gamma 90.00
loop_
_atom_site_label
_atom_site_fract_x
_atom_site_fract_y
_atom_site_fract_z
Zn1 0.000 0.000 0.000
Ge1 0.178 0.322 0.000
B1 0.128 0.628 0.000
Rh1 0.000 0.500 0.500
Rh2 0.077 0.785 0.500
# formation enthalpy at 0 K: -25.6 kJ per mole of atoms
# D(E_F): 9.5 states/eV per cell


No. 2
# Ac2SbTe5, optimized geometry, DFT GGA-PBE
data_Ac2SbTe5
_symmetry_space_group_name_H-M 'C m c m'
_symmetry_Int_Tables_number 63
_symmetry_space_group_name_Hall '-C 2c 2'
_cell_length_a 6.366
_cell_length_b 16.117
_cell_length_c 14.914
_cell_angle_alpha 90.00
_cell_angle_beta 90.00
_cell_angle_gamma 90.00
loop_
_atom_site_label
_atom_site_fract_x
_atom_site_fract_y
_atom_site_fract_z
Ac1 0.000 0.163 0.075
Sb1 0.000 0.161 0.750
Te1 0.000 0.040 0.602
Te2 0.000 0.293 0.600
Te3 0.000 0.295 0.250
# formation energy without anion corrections: -80.4 kJ/mol of atoms
# energy relative to the lowest polymorph listed for this composition: 219 meV/atom
# D(E_F): 20.0 states/eV per cell


No. 3
# NaTl5In2Bi, optimized geometry, DFT GGA-PBE
data_NaTl5In2Bi
_symmetry_space_group_name_H-M 'C m c 21'
_symmetry_Int_Tables_number 36
_symmetry_space_group_name_Hall 'C 2c -2'
_cell_length_a 5.279
_cell_length_b 15.657
_cell_length_c 12.986
_cell_angle_alpha 90.00
_cell_angle_beta 90.00
_cell_angle_gamma 90.00
loop_
_atom_site_label
_atom_site_fract_x
_atom_site_fract_y
_atom_site_fract_z
Na1 0.000 0.085 0.000
Tl1 0.000 0.082 0.336
Tl2 0.000 0.083 0.663
Tl3 0.000 0.252 0.835
Tl4 0.000 0.255 0.162
Tl5 0.000 0.422 0.668
In1 0.000 0.416 0.332
In2 0.000 0.421 0.994
Bi1 0.000 0.257 0.498
# formation enthalpy at 0 K: -3.7 kJ per mole of atoms
# D(E_F): 12.0 states/eV per cell


No. 4
# BaSc2Ga2, optimized geometry, DFT GGA-PBE
data_BaSc2Ga2
_symmetry_space_group_name_H-M 'I 4/m m m'
_symmetry_Int_Tables_number 139
_symmetry_space_group_name_Hall '-I 4 2'
_cell_length_a 5.072
_cell_length_b 5.072
_cell_length_c 11.372
_cell_angle_alpha 90.00
_cell_angle_beta 90.00
_cell_angle_gamma 90.00
loop_
_atom_site_label
_atom_site_fract_x
_atom_site_fract_y
_atom_site_fract_z
Ba1 0.000 0.000 0.000
Sc1 0.000 0.000 0.339
Ga1 0.000 0.500 0.250
# formation enthalpy at 0 K: -18.3 kJ per mole of atoms
# energy relative to the lowest polymorph listed for this composition: 131 meV/atom
# D(E_F): 8.5 states/eV per cell